Below is NaLa2SnF after structural relaxation, with properties calculated at the GGA-PBE level.

E_tot in Ry/atom: -0.3482
Spin magnetization in μB per formula unit: 0.000
DOS at the Fermi energy in states/eV per cell: 3.1

CIF file:
```
data_NaLa2SnF
_cell_length_a 5.2211
_cell_length_b 5.2211
_cell_length_c 4.6287
_cell_angle_alpha 90.00
_cell_angle_beta 90.00
_cell_angle_gamma 90.00
_space_group_name_H-M_alt 'P 4/m m m'
_space_group_IT_number 123
_space_group_name_Hall '-P 4 2'
loop_
_atom_site_label
_atom_site_type_symbol
_atom_site_fract_x
_atom_site_fract_y
_atom_site_fract_z
Na1 Na 0.0000 0.0000 0.0000
La1 La 0.0000 0.5000 0.5000
Sn1 Sn 0.5000 0.5000 0.0000
F1 F 0.0000 0.0000 0.5000
```